Here is a geometry-optimized CaNiF2 structure from the Alexandria database. Energies are from PBE+U.

Values from the calculation:
Distance to the lowest polymorph of the same formula, meV/atom: 0
SG: I-42d, No. 122

Lattice parameters (Å, degrees): 4.1310 4.1310 7.4358 73.87 73.87 90.00
Last column: nearest neighbours and their distance in Å.
Sites, in units of the cell vectors:
1 F 0.3750 0.3516 0.7500  2 Ni 2.21, 2 Ca 2.29
2 F 0.6484 0.1250 0.2500  2 Ni 2.21, 2 Ca 2.29
3 F 0.8750 0.8984 0.7500  2 Ni 2.21, 2 Ca 2.29
4 Ni 0.0000 0.0000 0.0000  4 F 2.21
5 F 0.1016 0.6250 0.2500  2 Ni 2.21, 2 Ca 2.29
6 Ni 0.7500 0.2500 0.5000  4 F 2.21
7 Ca 0.5000 0.5000 0.0000  4 F 2.29
8 Ca 0.2500 0.7500 0.5000  4 F 2.29

---

Here is a geometry-optimized Ca4Ni6F19 structure from the Alexandria database. Energies are from PBE+U.

Values from the calculation:
Uncorrected energy, eV per cell: -137.997
SG: I23, No. 197

Lattice parameters (Å, degrees): 7.9413 7.9413 7.9413 109.47 109.47 109.47
Last column: nearest neighbours and their distance in Å.
Sites, in units of the cell vectors:
1 Ni 0.5000 0.1593 0.6593  6 F 1.99-2.16
2 F 0.6738 0.0000 0.6738  2 Ni 2.16
3 F 0.0000 0.6738 0.6738  2 Ni 2.16
4 F 0.6303 0.2433 0.9624  2 Ni 1.99-2.03
5 F 0.2433 0.9624 0.6303  2 Ni 1.99-2.03
6 F 0.0376 0.2808 0.6678  2 Ni 1.99-2.03
7 Ni 0.8407 0.3407 0.5000  6 F 1.99-2.16
8 Ni 0.5000 0.8407 0.3407  6 F 1.99-2.16
9 F 0.0000 0.0000 0.0000  4 Ca 2.38
10 Ca 0.0000 0.6999 0.0000  7 F 2.26-2.53
11 F 0.3262 0.3262 0.0000  2 Ni 2.16
12 F 0.3322 0.6130 0.3697  2 Ni 1.99-2.03
13 F 0.3870 0.7192 0.7567  2 Ni 1.99-2.03
14 F 0.7567 0.3870 0.7192  2 Ni 1.99-2.03
15 Ca 0.3001 0.3001 0.3001  7 F 2.26-2.53
16 F 0.6678 0.0376 0.2808  2 Ni 1.99-2.03
17 F 0.7192 0.7567 0.3870  2 Ni 1.99-2.03
18 Ca 0.0000 0.0000 0.6999  7 F 2.26-2.53
19 Ni 0.3407 0.5000 0.8407  6 F 1.99-2.16
20 F 0.6130 0.3697 0.3322  2 Ni 1.99-2.03
21 F 0.3697 0.3322 0.6130  2 Ni 1.99-2.03
22 F 0.0000 0.3262 0.3262  2 Ni 2.16
23 Ni 0.6593 0.5000 0.1593  6 F 1.99-2.16
24 F 0.3262 0.0000 0.3262  2 Ni 2.16
25 Ni 0.1593 0.6593 0.5000  6 F 1.99-2.16
26 Ca 0.6999 0.0000 0.0000  7 F 2.26-2.53
27 F 0.2808 0.6678 0.0376  2 Ni 1.99-2.03
28 F 0.9624 0.6303 0.2433  2 Ni 1.99-2.03
29 F 0.6738 0.6738 0.0000  2 Ni 2.16

---

Here is a geometry-optimized CaNi2F6 structure from the Alexandria database. Energies are from PBE+U.

Values from the calculation:
Uncorrected energy, eV per cell: -43.305
SG: P-31m, No. 162

Lattice parameters (Å, degrees): 4.9207 5.2511 5.2511 120.00 90.00 90.00
Last column: nearest neighbours and their distance in Å.
Sites, in units of the cell vectors:
1 Ni 0.5000 0.6667 0.3333  6 F 2.03
2 F 0.7238 0.3527 0.0000  2 Ni 2.03
3 F 0.2762 0.3527 0.3527  2 Ni 2.03
4 F 0.2762 0.0000 0.6473  2 Ni 2.03
5 F 0.7238 0.0000 0.3527  2 Ni 2.03
6 Ca 0.0000 0.0000 0.0000  6 F 2.30
7 F 0.7238 0.6473 0.6473  2 Ni 2.03
8 Ni 0.5000 0.3333 0.6667  6 F 2.03
9 F 0.2762 0.6473 0.0000  2 Ni 2.03

---

Here is a geometry-optimized CaNi2F structure from the Alexandria database. Energies are from PBE+U.

Values from the calculation:
Uncorrected energy, eV per cell: -6.670
SG: Fm-3m, No. 225

Lattice parameters (Å, degrees): 4.3468 4.3468 4.3468 60.00 60.00 60.00
Last column: nearest neighbours and their distance in Å.
Sites, in units of the cell vectors:
1 F 0.0000 0.0000 0.0000  8 Ni 2.66
2 Ni 0.7500 0.7500 0.7500  4 F 2.66, 4 Ca 2.66
3 Ni 0.2500 0.2500 0.2500  4 Ca 2.66, 4 F 2.66
4 Ca 0.5000 0.5000 0.5000  8 Ni 2.66

---

Here is a geometry-optimized Ca2NiF6 structure from the Alexandria database. Energies are from PBE+U.

Values from the calculation:
Distance to the lowest polymorph of the same formula, meV/atom: 145
SG: I-42m, No. 121

Lattice parameters (Å, degrees): 4.1141 4.1141 8.6523 103.75 103.75 90.00
Last column: nearest neighbours and their distance in Å.
Sites, in units of the cell vectors:
1 F 0.3567 0.8125 0.1692  1 Ni 1.91
2 F 0.6433 0.6433 0.8308  1 Ni 1.91
3 F 0.2500 0.7500 0.5000  4 Ca 2.39
4 F 0.1875 0.1875 0.8308  1 Ni 1.91
5 Ni 0.5000 0.5000 0.0000  4 F 1.91
6 Ca 0.1754 0.1754 0.3508  6 F 2.17-2.39
7 F 0.8125 0.3567 0.1692  1 Ni 1.91
8 Ca 0.8246 0.8246 0.6492  6 F 2.17-2.39
9 F 0.7500 0.2500 0.5000  4 Ca 2.39

---

Here is a geometry-optimized Ca2NiF6 structure from the Alexandria database. Energies are from PBE+U.

Values from the calculation:
Distance to the lowest polymorph of the same formula, meV/atom: 0
SG: P4_2/mnm, No. 136

Lattice parameters (Å, degrees): 5.0651 5.0651 10.2314 90.00 90.00 90.00
Last column: nearest neighbours and their distance in Å.
Sites, in units of the cell vectors:
1 F 0.3138 0.3138 0.3472  1 Ni 2.05, 2 Ca 2.25-2.28
2 F 0.3138 0.3138 0.6528  1 Ni 2.05, 2 Ca 2.25-2.28
3 F 0.1862 0.8138 0.8472  1 Ni 2.05, 2 Ca 2.25-2.28
4 F 0.6862 0.6862 0.3472  1 Ni 2.05, 2 Ca 2.25-2.28
5 F 0.8138 0.1862 0.1528  1 Ni 2.05, 2 Ca 2.25-2.28
6 Ni 0.5000 0.5000 0.5000  6 F 2.05
7 Ca 0.0000 0.0000 0.6661  6 F 2.25-2.29
8 Ca 0.5000 0.5000 0.8339  6 F 2.25-2.29
9 F 0.7860 0.2140 0.5000  1 Ni 2.05, 2 Ca 2.29
10 F 0.6862 0.6862 0.6528  1 Ni 2.05, 2 Ca 2.25-2.28
11 F 0.1862 0.8138 0.1528  1 Ni 2.05, 2 Ca 2.25-2.28
12 Ca 0.5000 0.5000 0.1661  6 F 2.25-2.29
13 Ca 0.0000 0.0000 0.3339  6 F 2.25-2.29
14 F 0.2860 0.2860 0.0000  1 Ni 2.05, 2 Ca 2.29
15 F 0.8138 0.1862 0.8472  1 Ni 2.05, 2 Ca 2.25-2.28
16 F 0.2140 0.7860 0.5000  1 Ni 2.05, 2 Ca 2.29
17 Ni 0.0000 0.0000 0.0000  6 F 2.05
18 F 0.7140 0.7140 0.0000  1 Ni 2.05, 2 Ca 2.29

---

Here is a geometry-optimized CaNiF6 structure from the Alexandria database. Energies are from PBE+U.

Values from the calculation:
Uncorrected energy, eV per cell: -34.447
SG: P-1, No. 2

Lattice parameters (Å, degrees): 5.1358 5.1354 5.5508 62.41 62.36 59.93
Last column: nearest neighbours and their distance in Å.
Sites, in units of the cell vectors:
1 F 0.9406 0.6336 0.2223  1 Ni 1.80
2 F 0.0594 0.3664 0.7777  1 Ni 1.80
3 F 0.6333 0.2033 0.2228  1 Ni 1.80
4 Ca 0.5000 0.5000 0.5000  6 F 2.30
5 F 0.2031 0.9404 0.2225  1 Ni 1.80
6 F 0.7969 0.0596 0.7775  1 Ni 1.80
7 Ni 0.0000 0.0000 0.0000  6 F 1.80
8 F 0.3667 0.7967 0.7772  1 Ni 1.80

---

Here is a geometry-optimized Ca2NiF structure from the Alexandria database. Energies are from PBE+U.

Values from the calculation:
Distance to the lowest polymorph of the same formula, meV/atom: 0
SG: I-42d, No. 122

Lattice parameters (Å, degrees): 6.5838 6.5838 6.1130 57.42 57.42 90.00
Last column: nearest neighbours and their distance in Å.
Sites, in units of the cell vectors:
1 Ca 0.5787 0.1250 0.2500  2 F 2.34
2 Ca 0.1713 0.6250 0.2500  2 F 2.34
3 Ca 0.3750 0.4213 0.7500  2 F 2.34
4 Ni 0.7500 0.2500 0.5000  4 Ca 2.74
5 Ca 0.8750 0.8287 0.7500  2 F 2.34
6 F 0.5000 0.5000 0.0000  4 Ca 2.34
7 Ni 0.0000 0.0000 0.0000  4 Ca 2.74
8 F 0.2500 0.7500 0.5000  4 Ca 2.34

---

Here is a geometry-optimized Ca3NiF8 structure from the Alexandria database. Energies are from PBE+U.

Values from the calculation:
Uncorrected energy, eV per cell: -64.370
SG: C222, No. 21

Lattice parameters (Å, degrees): 6.0617 6.0617 6.5861 90.00 90.00 120.32
Last column: nearest neighbours and their distance in Å.
Sites, in units of the cell vectors:
1 Ca 0.5000 0.0000 0.7401  6 F 2.26-2.32
2 F 0.7543 0.6953 0.2706  1 Ni 2.05, 1 Ca 2.26
3 F 0.6961 0.3039 0.5000  1 Ni 2.06, 2 Ca 2.26
4 F 0.7154 0.2846 0.0000  3 Ca 2.26-2.31
5 Ca 0.5000 0.5000 0.0000  6 F 2.26
6 F 0.6953 0.7543 0.7294  1 Ni 2.05, 1 Ca 2.26
7 F 0.3039 0.6961 0.5000  1 Ni 2.06, 2 Ca 2.26
8 F 0.2457 0.3047 0.2706  1 Ni 2.05, 1 Ca 2.26
9 Ni 0.5000 0.5000 0.5000  6 F 2.05-2.06
10 F 0.2846 0.7154 0.0000  3 Ca 2.26-2.31
11 Ca 0.0000 0.5000 0.2599  6 F 2.26-2.32
12 F 0.3047 0.2457 0.7294  1 Ni 2.05, 1 Ca 2.26

---

Here is a geometry-optimized CaNi3F structure from the Alexandria database. Energies are from PBE+U.

Values from the calculation:
Distance to the lowest polymorph of the same formula, meV/atom: 1157
SG: Pm-3m, No. 221

Lattice parameters (Å, degrees): 5.1834 5.1834 5.1834 90.00 90.00 90.00
Last column: nearest neighbours and their distance in Å.
Sites, in units of the cell vectors:
1 F 0.5000 0.5000 0.5000  12 Ni 3.67
2 Ni 0.5000 0.0000 0.0000  2 Ca 2.59
3 Ca 0.0000 0.0000 0.0000  6 Ni 2.59
4 Ni 0.0000 0.0000 0.5000  2 Ca 2.59
5 Ni 0.0000 0.5000 0.0000  2 Ca 2.59

---

Here is a geometry-optimized CaNiOF2 structure from the Alexandria database. Energies are from PBE+U.

Values from the calculation:
Distance to the lowest polymorph of the same formula, meV/atom: 775
SG: P4/mmm, No. 123

Lattice parameters (Å, degrees): 4.2108 4.2108 4.5732 90.00 90.00 90.00
Last column: nearest neighbours and their distance in Å.
Sites, in units of the cell vectors:
1 O 0.0000 0.0000 0.5000  2 Ca 2.29
2 Ca 0.0000 0.0000 0.0000  4 F 2.11, 2 O 2.29
3 Ni 0.5000 0.5000 0.5000  4 O 2.98, 8 F 3.11
4 F 0.0000 0.5000 0.0000  2 Ca 2.11
5 F 0.5000 0.0000 0.0000  2 Ca 2.11